Entry 1:
The following is a PBE calculation of an optimized crystal structure of Pa2TiCo4Si3, from Alexandria via LeMat-Bulk.

Energy relative to the elements, uncorrected in eV per atom: -0.720
Total DFT energy (no corrections) in Ha/atom: -0.2895

Lattice parameters (Å, degrees): 3.902 3.902 9.829 90.00 90.00 90.00
Atoms (fractional coordinates):
Si 0.000 0.500 0.125
Co 0.500 0.000 0.642
Co 0.500 0.500 0.000
Ti 0.500 0.500 0.500
Si 0.000 0.000 0.500
Co 0.000 0.500 0.358
Pa 0.500 0.000 0.244
Co 0.000 0.000 0.000
Pa 0.000 0.500 0.756
Si 0.500 0.000 0.875


Entry 2:
The following is a PBE calculation of an optimized crystal structure of PaTiCo5Si2, from Alexandria via LeMat-Bulk.

Energy relative to the elements, uncorrected in eV per atom: -0.421
Total DFT energy (no corrections) in Ha/atom: -0.2759

Lattice parameters (Å, degrees): 3.768 3.768 8.453 90.00 90.00 90.00
Atoms (fractional coordinates):
Co 0.500 0.000 0.726
Pa 0.000 0.000 0.500
Co 0.000 0.500 0.274
Co 0.500 0.500 0.500
Si 0.500 0.500 0.865
Co 0.000 0.500 0.726
Co 0.500 0.000 0.274
Si 0.500 0.500 0.135
Ti 0.000 0.000 0.000


Entry 3:
The following is a PBE calculation of an optimized crystal structure of Pa2TiCo3Si4, from Alexandria via LeMat-Bulk.

Energy relative to the elements, uncorrected in eV per atom: -0.713
Total DFT energy (no corrections) in Ha/atom: -0.2831

Lattice parameters (Å, degrees): 3.926 3.926 10.077 90.00 90.00 90.00
Atoms (fractional coordinates):
Si 0.000 0.500 0.349
Co 0.000 0.500 0.122
Co 0.000 0.000 0.500
Co 0.500 0.000 0.878
Si 0.000 0.000 0.000
Ti 0.500 0.500 0.500
Pa 0.000 0.500 0.766
Si 0.500 0.000 0.651
Pa 0.500 0.000 0.234
Si 0.500 0.500 0.000


Entry 4:
The following is a PBE calculation of an optimized crystal structure of UPaCo5Si2, from Alexandria via LeMat-Bulk.

Energy relative to the elements, uncorrected in eV per atom: -0.453
Total DFT energy (no corrections) in Ha/atom: -0.2909

Lattice parameters (Å, degrees): 3.901 3.901 8.371 90.00 90.00 90.00
Atoms (fractional coordinates):
Co 0.500 0.000 0.277
Si 0.500 0.500 0.856
Co 0.000 0.500 0.277
Si 0.500 0.500 0.144
Co 0.500 0.500 0.500
Co 0.500 0.000 0.723
U 0.000 0.000 0.000
Pa 0.000 0.000 0.500
Co 0.000 0.500 0.723


Entry 5:
The following is a PBE calculation of an optimized crystal structure of Pa2VCo3Si4, from Alexandria via LeMat-Bulk.

Energy relative to the elements, uncorrected in eV per atom: -0.678
Total DFT energy (no corrections) in Ha/atom: -0.2863

Lattice parameters (Å, degrees): 3.920 3.920 9.897 90.00 90.00 90.00
Atoms (fractional coordinates):
Pa 0.000 0.500 0.760
Pa 0.500 0.000 0.240
Si 0.500 0.000 0.644
V 0.500 0.500 0.500
Co 0.000 0.500 0.125
Co 0.500 0.000 0.875
Si 0.500 0.500 0.000
Co 0.000 0.000 0.500
Si 0.000 0.500 0.356
Si 0.000 0.000 0.000


Entry 6:
The following is a PBE calculation of an optimized crystal structure of Pa2Co12Si3W, from Alexandria via LeMat-Bulk.

Energy relative to the elements, uncorrected in eV per atom: 0.067
Total DFT energy (no corrections) in Ha/atom: -0.2701

Lattice parameters (Å, degrees): 8.524 8.524 8.524 42.20 42.20 42.20
Atoms (fractional coordinates):
Si 0.500 0.000 0.000
Co 0.186 0.590 0.590
Co 0.135 0.559 0.135
Co 0.865 0.865 0.441
Si 0.000 0.500 0.000
Co 0.814 0.410 0.410
Co 0.441 0.865 0.865
Co 0.135 0.135 0.559
Co 0.865 0.441 0.865
Pa 0.366 0.366 0.366
Co 0.559 0.135 0.135
Si 0.000 0.000 0.500
W 0.000 0.000 0.000
Co 0.410 0.410 0.814
Pa 0.634 0.634 0.634
Co 0.590 0.590 0.186
Co 0.590 0.186 0.590
Co 0.410 0.814 0.410


Entry 7:
The following is a PBE calculation of an optimized crystal structure of Pa2ZnCo3Si4, from Alexandria via LeMat-Bulk.

Energy relative to the elements, uncorrected in eV per atom: -0.672
Total DFT energy (no corrections) in Ha/atom: -0.2572

Lattice parameters (Å, degrees): 3.955 3.955 9.684 90.00 90.00 90.00
Atoms (fractional coordinates):
Co 0.000 0.500 0.126
Co 0.500 0.000 0.874
Co 0.000 0.000 0.500
Si 0.000 0.000 0.000
Si 0.500 0.500 0.000
Zn 0.500 0.500 0.500
Pa 0.500 0.000 0.241
Si 0.000 0.500 0.359
Si 0.500 0.000 0.641
Pa 0.000 0.500 0.759


Entry 8:
The following is a PBE calculation of an optimized crystal structure of Pa2ZnCoSi, from Alexandria via LeMat-Bulk.

Energy relative to the elements, uncorrected in eV per atom: -0.335
Total DFT energy (no corrections) in Ha/atom: -0.2533

Lattice parameters (Å, degrees): 3.840 5.659 8.603 90.02 90.00 90.00
Atoms (fractional coordinates):
Co 0.750 0.058 0.250
Si 0.750 0.471 0.250
Pa 0.750 0.760 0.542
Zn 0.250 0.753 0.250
Pa 0.750 0.760 0.958
Pa 0.250 0.240 0.042
Pa 0.250 0.240 0.458
Zn 0.750 0.247 0.750
Co 0.250 0.942 0.750
Si 0.250 0.529 0.750